i | Compound: HfAlPd6
Source: Alexandria via LeMat-Bulk
Functional: PBE
Structure: optimized geometry

Computed properties:
Fermi-level density of states (states/eV per atom): 0.485

Lattice parameters (Å, degrees): 5.2623 5.2623 5.2623 90.63 90.63 90.63
Last column: nearest neighbours and their distance in Å.
Sites, in units of the cell vectors:
Hf (0.0000, 0.0000, 0.0000)  6 Pd 2.71
Al (0.5000, 0.5000, 0.5000)  6 Pd 2.42
Pd (0.1756, 0.1756, 0.5520)  1 Al 2.42, 1 Pd 2.65, 1 Hf 2.71
Pd (0.1756, 0.5520, 0.1756)  1 Al 2.42, 1 Pd 2.65, 1 Hf 2.71
Pd (0.4480, 0.8244, 0.8244)  1 Al 2.42, 1 Pd 2.65, 1 Hf 2.71
Pd (0.5520, 0.1756, 0.1756)  1 Al 2.42, 1 Pd 2.65, 1 Hf 2.71
Pd (0.8244, 0.4480, 0.8244)  1 Al 2.42, 1 Pd 2.65, 1 Hf 2.71
Pd (0.8244, 0.8244, 0.4480)  1 Al 2.42, 1 Pd 2.65, 1 Hf 2.71



ii | Compound: HfAlPd6
Source: Alexandria via LeMat-Bulk
Functional: PBE
Structure: optimized geometry

Computed properties:
Fermi-level density of states (states/eV per atom): 0.501

Lattice parameters (Å, degrees): 5.6123 5.6123 3.9520 90.00 90.00 90.00
Last column: nearest neighbours and their distance in Å.
Sites, in units of the cell vectors:
Hf (0.0000, 0.0000, 0.0000)  12 Pd 2.81
Al (0.5000, 0.5000, 0.0000)  12 Pd 2.79-2.81
Pd (0.0000, 0.5000, 0.0000)  8 Pd 2.80, 2 Al 2.81, 2 Hf 2.81
Pd (0.2526, 0.2526, 0.5000)  8 Pd 2.78-2.83, 2 Al 2.79, 2 Hf 2.81
Pd (0.2526, 0.7474, 0.5000)  8 Pd 2.78-2.83, 2 Al 2.79, 2 Hf 2.81
Pd (0.5000, 0.0000, 0.0000)  8 Pd 2.80, 2 Al 2.81, 2 Hf 2.81
Pd (0.7474, 0.2526, 0.5000)  8 Pd 2.78-2.83, 2 Al 2.79, 2 Hf 2.81
Pd (0.7474, 0.7474, 0.5000)  8 Pd 2.78-2.83, 2 Al 2.79, 2 Hf 2.81



Need the numbers? Relative energies in meV/atom: i 544; ii 0.



i | Compound: HfAl2Pd2
Source: Alexandria via LeMat-Bulk
Functional: PBE
Structure: optimized geometry

Computed properties:
Fermi-level density of states (states/eV per atom): 0.570

Lattice parameters (Å, degrees): 6.6588 6.6588 6.6588 147.25 147.25 47.00
Last column: nearest neighbours and their distance in Å.
Sites, in units of the cell vectors:
Hf (0.0000, 0.0000, 0.0000)  8 Pd 2.97
Al (0.2500, 0.7500, 0.5000)  4 Pd 2.55, 4 Al 2.66
Al (0.7500, 0.2500, 0.5000)  4 Pd 2.55, 4 Al 2.66
Pd (0.3919, 0.3919, 0.0000)  4 Al 2.55, 1 Pd 2.64
Pd (0.6081, 0.6081, 0.0000)  4 Al 2.55, 1 Pd 2.64



ii | Compound: HfAl2Pd2
Source: Alexandria via LeMat-Bulk
Functional: PBE
Structure: optimized geometry

Computed properties:
Fermi-level density of states (states/eV per atom): 0.626

Lattice parameters (Å, degrees): 7.5849 7.5849 2.8093 90.00 90.00 90.00
Last column: nearest neighbours and their distance in Å.
Sites, in units of the cell vectors:
Hf (0.0000, 0.0000, 0.0000)  2 Hf 2.81, 4 Al 2.98
Hf (0.5000, 0.5000, 0.0000)  2 Hf 2.81, 4 Al 2.98
Al (0.1289, 0.3711, 0.0000)  6 Pd 2.60-2.66, 3 Al 2.77-2.81
Al (0.3711, 0.8711, 0.0000)  6 Pd 2.60-2.66, 3 Al 2.77-2.81
Al (0.6289, 0.1289, 0.0000)  6 Pd 2.60-2.66, 3 Al 2.77-2.81
Al (0.8711, 0.6289, 0.0000)  6 Pd 2.60-2.66, 3 Al 2.77-2.81
Pd (0.1667, 0.6667, 0.5000)  6 Al 2.60-2.66, 2 Pd 2.81
Pd (0.3333, 0.1667, 0.5000)  6 Al 2.60-2.66, 2 Pd 2.81
Pd (0.6667, 0.8333, 0.5000)  6 Al 2.60-2.66, 2 Pd 2.81
Pd (0.8333, 0.3333, 0.5000)  6 Al 2.60-2.66, 2 Pd 2.81



Need the numbers? Relative energies in meV/atom: i 49; ii 0.



i | Compound: HfAl2Pd8
Source: Alexandria via LeMat-Bulk
Functional: PBE
Structure: optimized geometry

Computed properties:
Fermi-level density of states (states/eV per atom): 0.315

Lattice parameters (Å, degrees): 7.3815 7.3815 7.3815 148.26 123.72 66.07
Last column: nearest neighbours and their distance in Å.
Sites, in units of the cell vectors:
Hf (0.0000, 0.0000, 0.0000)  12 Pd 2.73-2.91
Al (0.3134, 0.3134, 0.0000)  8 Pd 2.55-2.70
Al (0.6866, 0.6866, 0.0000)  8 Pd 2.55-2.70
Pd (0.1160, 0.8355, 0.2806)  3 Al 2.55-2.69, 3 Pd 2.77-2.82, 1 Hf 2.82
Pd (0.1486, 0.6486, 0.5000)  2 Hf 2.73, 8 Pd 2.77-2.82, 2 Al 2.87
Pd (0.3005, 0.5000, 0.8005)  2 Al 2.70, 7 Pd 2.78-2.87, 2 Hf 2.91
Pd (0.4451, 0.1645, 0.2806)  3 Al 2.55-2.69, 3 Pd 2.77-2.82, 1 Hf 2.82
Pd (0.5549, 0.8355, 0.7194)  3 Al 2.55-2.69, 3 Pd 2.77-2.82, 1 Hf 2.82
Pd (0.6995, 0.5000, 0.1995)  2 Al 2.70, 7 Pd 2.78-2.87, 2 Hf 2.91
Pd (0.8514, 0.3514, 0.5000)  2 Hf 2.73, 8 Pd 2.77-2.82, 2 Al 2.87
Pd (0.8840, 0.1645, 0.7194)  3 Al 2.55-2.69, 3 Pd 2.77-2.82, 1 Hf 2.82



ii | Compound: HfAl2Pd8
Source: Alexandria via LeMat-Bulk
Functional: PBE
Structure: optimized geometry

Computed properties:
Fermi-level density of states (states/eV per atom): 0.425

Lattice parameters (Å, degrees): 7.2288 7.2288 6.4228 110.49 110.49 33.03
Last column: nearest neighbours and their distance in Å.
Sites, in units of the cell vectors:
Hf (0.0000, 0.0000, 0.0000)  12 Pd 2.68-2.91
Al (0.2846, 0.2846, 0.3432)  7 Pd 2.51-2.67
Al (0.7154, 0.7154, 0.6568)  7 Pd 2.51-2.67
Pd (0.1090, 0.1090, 0.4675)  3 Al 2.56-2.82, 5 Pd 2.77-2.86, 1 Hf 2.83
Pd (0.1793, 0.1793, 0.9311)  1 Al 2.51, 1 Hf 2.68, 6 Pd 2.75-2.81
Pd (0.3471, 0.3471, 0.7852)  3 Al 2.65-2.67, 7 Pd 2.81-2.94, 2 Hf 2.91
Pd (0.4605, 0.4605, 0.2716)  1 Al 2.64, 7 Pd 2.73-2.94, 2 Hf 2.87
Pd (0.5395, 0.5395, 0.7284)  1 Al 2.64, 7 Pd 2.73-2.94, 2 Hf 2.87
Pd (0.6529, 0.6529, 0.2148)  3 Al 2.65-2.67, 7 Pd 2.81-2.94, 2 Hf 2.91
Pd (0.8207, 0.8207, 0.0689)  1 Al 2.51, 1 Hf 2.68, 6 Pd 2.75-2.81
Pd (0.8910, 0.8910, 0.5325)  3 Al 2.56-2.82, 5 Pd 2.77-2.86, 1 Hf 2.83



Need the numbers? Relative energies in meV/atom: i 0; ii 19.